The following is a GGA-PBE calculation of a relaxed Sr2CuAgP2 crystal, from OQMD.

Lattice parameters (Å, degrees): 4.2822 4.2822 8.4470 90.00 90.00 120.00
Closest atoms and distances in Å follow each position.
Atoms (fractional coordinates):
P  0.0000  0.0000  0.5000  3 Cu 2.47
P  0.6667  0.3333  0.0000  3 Ag 2.47
Sr  0.3333  0.6667  0.2535  3 Cu 3.23, 6 P 3.23-3.27, 3 Ag 3.27
Cu  0.6667  0.3333  0.5000  3 P 2.47
Ag  0.0000  0.0000  0.0000  3 P 2.47
Sr  0.3333  0.6667  0.7465  3 Cu 3.23, 6 P 3.23-3.27, 3 Ag 3.27

Output
The calculation puts the total energy at -4.221 eV/atom.



The following is a GGA-PBE calculation of a relaxed YCu2AgP2 crystal, from OQMD.

Lattice parameters (Å, degrees): 4.0140 4.0140 7.0857 90.00 90.00 120.00
Closest atoms and distances in Å follow each position.
Atoms (fractional coordinates):
P  0.6667  0.3333  0.7585  3 Cu 2.34
Y  0.0000  0.0000  0.0000  6 P 2.88, 6 Cu 3.10
P  0.3333  0.6667  0.2415  3 Cu 2.34
Cu  0.3333  0.6667  0.7090  3 P 2.34
Cu  0.6667  0.3333  0.2910  3 P 2.34
Ag  0.0000  0.0000  0.5000  6 Cu 2.75, 6 P 2.95

Output
The calculation puts the total energy at -5.131 eV/atom. Its total magnetization is 0.004 μB/f.u.



The following is a GGA-PBE calculation of a relaxed PaCuAg crystal, from OQMD.

Lattice parameters (Å, degrees): 4.5200 4.5200 4.5200 60.00 60.00 60.00
Closest atoms and distances in Å follow each position.
Atoms (fractional coordinates):
Cu  0.0000  0.0000  0.0000  4 Pa 2.77, 4 Ag 2.77
Pa  0.7500  0.7500  0.7500  4 Cu 2.77
Ag  0.2500  0.2500  0.2500  4 Cu 2.77

Output
For the energy of formation from the pure elements, the calculation gives 1.21 eV/f.u. For the energy above the most stable polymorph in this dataset, the calculation gives 0 meV per atom. Its total magnetization is 0.933 μB/f.u.



The following is a GGA-PBE calculation of a relaxed CuReAgPb crystal, from OQMD.

Lattice parameters (Å, degrees): 4.6211 4.6211 4.6211 60.00 60.00 60.00
Closest atoms and distances in Å follow each position.
Atoms (fractional coordinates):
Re  0.2500  0.2500  0.2500  4 Ag 2.83, 4 Pb 2.83
Ag  0.5000  0.5000  0.5000  4 Cu 2.83, 4 Re 2.83
Pb  0.0000  0.0000  0.0000  4 Cu 2.83, 4 Re 2.83
Cu  0.7500  0.7500  0.7500  4 Pb 2.83, 4 Ag 2.83

Output
For the energy above the most stable polymorph in this dataset, the calculation gives 0 meV per atom. Its total magnetization is 0.436 μB/f.u.



The following is a GGA-PBE calculation of a relaxed Sc2CuAgPb2 crystal, from OQMD.

Lattice parameters (Å, degrees): 7.9711 4.5799 15.2289 90.00 99.68 90.00
Closest atoms and distances in Å follow each position.
Atoms (fractional coordinates):
Pb  0.3027  0.5000  0.9320  2 Cu 2.76-2.77, 2 Ag 2.86
Sc  0.6953  0.5000  0.0614  1 Cu 2.77, 3 Ag 2.85-2.88
Pb  0.0685  0.0000  0.6848  3 Cu 2.74-2.78, 1 Ag 2.87
Sc  0.4270  0.0000  0.8070  2 Cu 2.77, 2 Ag 2.85-2.86
Sc  0.1873  0.5000  0.5629  4 Cu 2.77-2.80
Sc  0.9449  0.5000  0.8129  2 Cu 2.76-2.78, 2 Ag 2.85
Ag  0.7501  0.0000  0.7488  4 Sc 2.84-2.86, 4 Pb 2.85-2.87
Sc  0.6854  0.0000  0.5598  3 Cu 2.79-2.80, 1 Ag 2.84
Cu  0.4996  0.5000  0.5013  4 Sc 2.74-2.80, 4 Pb 2.74-2.79
Pb  0.3139  0.0000  0.4442  3 Cu 2.78-2.79, 1 Ag 2.88
Sc  0.4398  0.5000  0.3189  1 Cu 2.74, 3 Ag 2.84
Cu  0.2471  0.5000  0.7476  4 Sc 2.76-2.77, 4 Pb 2.76-2.78
Sc  0.1811  0.0000  0.0593  2 Cu 2.78, 2 Ag 2.85-2.90
Ag  0.4994  0.0000  0.9970  4 Sc 2.85, 4 Pb 2.86
Pb  0.8156  0.5000  0.4452  3 Cu 2.78-2.79, 1 Ag 2.88
Pb  0.0619  0.5000  0.1819  1 Cu 2.76, 3 Ag 2.84-2.85
Sc  0.9403  0.0000  0.3195  1 Cu 2.74, 3 Ag 2.82-2.83
Ag  0.2493  0.0000  0.2522  4 Sc 2.82-2.90, 4 Pb 2.83-2.88
Ag  0.7532  0.5000  0.2532  4 Sc 2.83-2.88, 4 Pb 2.84-2.88
Cu  0.0009  0.0000  0.5023  4 Pb 2.74-2.78, 4 Sc 2.74-2.80
Pb  0.5517  0.5000  0.6839  2 Cu 2.74-2.76, 2 Ag 2.86
Pb  0.5621  0.0000  0.1872  4 Ag 2.83-2.86
Cu  0.0007  0.5000  0.9980  4 Pb 2.76-2.77, 4 Sc 2.77-2.78
Pb  0.8221  0.0000  0.9388  2 Cu 2.77, 2 Ag 2.85-2.86

Output
The calculation puts the total energy at -4.709 eV/atom. Its total magnetization is 0.002 μB/f.u.



The following is a GGA-PBE calculation of a relaxed TaCuAgPb crystal, from OQMD.

Lattice parameters (Å, degrees): 4.7404 4.7404 4.7404 60.00 60.00 60.00
Closest atoms and distances in Å follow each position.
Atoms (fractional coordinates):
Cu  0.7500  0.7500  0.7500  4 Ta 2.90, 4 Pb 2.90
Pb  0.0000  0.0000  0.0000  4 Ag 2.90, 4 Cu 2.90
Ag  0.2500  0.2500  0.2500  4 Ta 2.90, 4 Pb 2.90
Ta  0.5000  0.5000  0.5000  4 Ag 2.90, 4 Cu 2.90

Output
For the energy above the most stable polymorph in this dataset, the calculation gives 65 meV per atom. Its total magnetization is 0.839 μB/f.u.